[1]
# TaSiSnO2 | Alexandria | meta-GGA SCAN | PBEsol geometry
# uncorrected formation energy = 203 meV per atom
# calculated volume = 91 Å³/cell
# total magnetic moment = 0.20 μB/atom
# calculated density = 6.53 g/cm³
data_TaSiSnO2
_chemical_formula_sum 'Ta1 Si1 Sn1 O2'
_cell_length_a 3.8113
_cell_length_b 3.8113
_cell_length_c 6.2982
_cell_angle_alpha 90.00
_cell_angle_beta 90.00
_cell_angle_gamma 90.00
_symmetry_space_group_name_H-M 'P 4/m m m'
_symmetry_Int_Tables_number 123
_symmetry_space_group_name_Hall '-P 4 2'
loop_
_atom_site_label
_atom_site_type_symbol
_atom_site_fract_x
_atom_site_fract_y
_atom_site_fract_z
_atom_site_occupancy
Ta1 Ta 0.0000 0.0000 0.0000 1
Si1 Si 0.5000 0.5000 0.0000 1
Sn1 Sn 0.0000 0.0000 0.5000 1
O1 O 0.0000 0.5000 0.5000 1

---

[2]
# CsNaTe3 | Alexandria | meta-GGA SCAN | PBEsol geometry
# uncorrected formation energy = -172 meV per atom
# calculated volume = 180 Å³/cell
# total magnetic moment = 0.00 μB/atom
# calculated density = 4.97 g/cm³
data_CsNaTe3
_chemical_formula_sum 'Cs1 Na1 Te3'
_cell_length_a 5.6472
_cell_length_b 5.6472
_cell_length_c 5.6472
_cell_angle_alpha 90.00
_cell_angle_beta 90.00
_cell_angle_gamma 90.00
_symmetry_space_group_name_H-M 'P m -3 m'
_symmetry_Int_Tables_number 221
_symmetry_space_group_name_Hall '-P 4 2 3'
loop_
_atom_site_label
_atom_site_type_symbol
_atom_site_fract_x
_atom_site_fract_y
_atom_site_fract_z
_atom_site_occupancy
Cs1 Cs 0.0000 0.0000 0.0000 1
Na1 Na 0.5000 0.5000 0.5000 1
Te1 Te 0.0000 0.5000 0.5000 1

---

> uncorrected formation energy of number 1 (TaSiSnO2)?

203 meV per atom